A relaxed VPPd3 crystal, computed with PBE.

Results
**Formation energy**: 0.48 eV per formula unit
**Final energy**: -29.6 eV per formula unit
**Space group**: Pm-3m (221)
**E above lowest polymorph**: 0 meV/atom

Cell lengths 4.4691, 4.4691, 4.4691 Å; angles 90.00, 90.00, 90.00 degrees
Fractional coordinates of all 5 atoms:
V 0.0000 0.0000 0.0000
P 0.5000 0.5000 0.5000
Pd 0.0000 0.5000 0.5000
Pd 0.5000 0.0000 0.5000
Pd 0.5000 0.5000 0.0000